The following is a SCAN calculation of a PBEsol-optimized structure of Mg2ScBe, from Alexandria.

Unit cell a=3.0681 b=3.0681 c=7.9538 alpha=90.00 beta=90.00 gamma=90.00
With the nearest neighbours (Å) after each atom.
Positions (direct):
Mg  0.0000  0.0000  0.0000  4 Be 2.68
Mg  0.5000  0.5000  0.2954  8 Mg 3.07-3.20, 4 Sc 3.25
Sc  0.0000  0.0000  0.6002  4 Be 2.70
Be  0.5000  0.5000  0.8028  4 Mg 2.68, 4 Sc 2.70

ΔE_f: 20 kJ/mol of formula units
Magnetic moment: 0.198 μB/f.u.